Material: Ac4TlPd2
Method: DFT, PBE-GGA
State: relaxed

The space group is R-3m (No. 166, hexagonal axes) and the conventional cell measures 5.2367, 5.2367 and 30.8594 Å, with angles of 90.00, 90.00 and 120.00 degrees. Symmetry generates all atoms from Ac at (0.0000, 0.0000, 0.1169), Ac at (0.0000, 0.0000, 0.2950), Tl at (0.0000, 0.0000, 0.5000) and Pd at (0.0000, 0.0000, 0.3979).

For the total energy, the calculation gives -96.592 eV for the cell shown. The formation energy comes out at -0.430 eV per atom. As for the density of states at the Fermi level: 0.792 states/eV per atom. The value obtained for the density is 9.01 g/cm³. Its energy relative to the lowest polymorph listed for this composition is 0.47 eV/f.u.